! RbTl2Bi, single point on PBEsol structure, DFT meta-GGA SCAN; values from VASP
! - Space group: Fm-3m, No. 225
! - Calculated total energy: -245.00 eV per formula unit
&SYSTEM
  ibrav = 0, nat = 4, ntyp = 3
/
ATOMIC_SPECIES
Tl 204.38 Tl.upf
Bi 208.98 Bi.upf
Rb 85.47 Rb.upf
ATOMIC_POSITIONS angstrom
Tl -3.040 -1.501 0.807
Tl -9.120 -4.502 2.420
Bi -6.080 -3.002 1.613
Rb 0.000 0.000 0.000
CELL_PARAMETERS angstrom
-5.327 0.949 1.763
-4.264 -3.212 -1.972
-2.569 -3.740 3.435

! RbTlBi2, single point on PBEsol structure, DFT meta-GGA SCAN; values from VASP
! - Space group: I-42d, No. 122
! - Calculated total energy: -250.65 eV per formula unit
&SYSTEM
  ibrav = 0, nat = 8, ntyp = 3
/
ATOMIC_SPECIES
Tl 204.38 Tl.upf
Bi 208.98 Bi.upf
Rb 85.47 Rb.upf
ATOMIC_POSITIONS angstrom
Tl -2.478 2.591 9.008
Tl 0.000 0.000 0.000
Bi 0.140 3.296 2.929
Bi -1.605 0.988 11.440
Bi -0.331 4.718 9.338
Bi -3.462 0.165 7.462
Rb -0.150 1.993 6.576
Rb -2.328 0.598 2.431
CELL_PARAMETERS angstrom
-4.656 1.197 4.863
1.280 -2.677 6.691
0.747 6.064 4.030

! RbTlBi3, single point on PBEsol structure, DFT meta-GGA SCAN; values from VASP
! - Space group: Pm-3m, No. 221
! - Calculated total energy: -327.05 eV per formula unit
&SYSTEM
  ibrav = 0, nat = 5, ntyp = 3
/
ATOMIC_SPECIES
Tl 204.38 Tl.upf
Bi 208.98 Bi.upf
Rb 85.47 Rb.upf
ATOMIC_POSITIONS angstrom
Tl 0.000 0.000 0.000
Bi -1.538 -1.492 -2.019
Bi -2.387 0.139 1.717
Bi -0.775 2.534 -1.282
Rb -4.700 1.181 -1.584
CELL_PARAMETERS angstrom
-1.549 5.068 -2.564
-3.076 -2.983 -4.037
-4.775 0.277 3.433

! RbZnBi3, single point on PBEsol structure, DFT meta-GGA SCAN; values from VASP
! - Space group: Pm-3m, No. 221
! - Calculated total energy: -269.46 eV per formula unit
&SYSTEM
  ibrav = 0, nat = 5, ntyp = 3
/
ATOMIC_SPECIES
Zn 65.41 Zn.upf
Bi 208.98 Bi.upf
Rb 85.47 Rb.upf
ATOMIC_POSITIONS angstrom
Zn 0.000 0.000 0.000
Bi -0.530 -1.370 2.326
Bi 2.211 1.140 1.175
Bi -1.549 2.095 0.882
Rb 0.133 1.865 4.382
CELL_PARAMETERS angstrom
-3.097 4.191 1.763
-1.059 -2.740 4.651
4.422 2.279 2.349